Be2NiP | PBE-GGA | optimized geometry

Output
- Density: 4.53 g/cm3
- Energy of formation: -0.110 eV/atom
- Magnetization: 0.000 μB per atom

```
Be2NiP
1.0
2.2436 -3.2963 0.0000
2.2436 3.2963 0.0000
-0.0089 0.0000 2.6683
Be Ni P
2 1 1
Direct
0.0000 0.5000 0.0000
0.5000 0.0000 0.0000
0.0000 0.0000 0.5000
0.5000 0.5000 0.5000
```